# MnVSn3

MnVSn3 after structural relaxation (PBE-GGA, the Alexandria database).

Its energy relative to the elements is 0.57 eV per atom. As for the density of states at the Fermi level: 0.28 states/eV/atom. As for the space group: No. 221.

a = 5.1447 Å, b = 5.1447 Å, c = 5.1447 Å
α = 90.00°, β = 90.00°, γ = 90.00°
Last column: nearest neighbours and their distance in Å.
Fractional coordinates of all 5 atoms:
Mn 0.0000 0.0000 0.0000  12 Sn 3.64
V 0.5000 0.5000 0.5000  6 Sn 2.57
Sn 0.0000 0.5000 0.5000  2 V 2.57
Sn 0.5000 0.0000 0.5000  2 V 2.57
Sn 0.5000 0.5000 0.0000  2 V 2.57

***

# MnSn2W

MnSn2W after structural relaxation (PBE-GGA, the Alexandria database).

Its energy relative to the elements is 0.88 eV per atom. As for the density of states at the Fermi level: 0.97 states/eV/atom. As for the space group: No. 122.

a = 6.0440 Å, b = 6.0440 Å, c = 6.0440 Å
α = 103.91°, β = 103.91°, γ = 121.28°
Last column: nearest neighbours and their distance in Å.
Fractional coordinates of all 8 atoms:
Mn 0.0000 0.0000 0.0000  4 Sn 2.69, 2 W 2.96
Mn 0.7500 0.2500 0.5000  4 Sn 2.69, 2 W 2.96
Sn 0.1168 0.6250 0.9918  2 Mn 2.69, 2 W 2.78, 2 Sn 2.97
Sn 0.3750 0.3668 0.4918  2 Mn 2.69, 2 W 2.78, 2 Sn 2.97
Sn 0.6332 0.1250 0.0082  2 Mn 2.69, 2 W 2.78, 2 Sn 2.97
Sn 0.8750 0.8832 0.5082  2 Mn 2.69, 2 W 2.78, 2 Sn 2.97
W 0.2500 0.7500 0.5000  4 Sn 2.78, 2 Mn 2.96
W 0.5000 0.5000 0.0000  4 Sn 2.78, 2 Mn 2.96

***

# MnSn2W

MnSn2W after structural relaxation (PBE-GGA, the Alexandria database).

Its energy relative to the elements is 0.55 eV per atom. As for the density of states at the Fermi level: 0.80 states/eV/atom. As for the space group: No. 225.

a = 4.7351 Å, b = 4.7351 Å, c = 4.7351 Å
α = 60.00°, β = 60.00°, γ = 60.00°
Last column: nearest neighbours and their distance in Å.
Fractional coordinates of all 4 atoms:
Mn 0.0000 0.0000 0.0000  8 Sn 2.90
Sn 0.2500 0.2500 0.2500  4 W 2.90, 4 Mn 2.90
Sn 0.7500 0.7500 0.7500  4 W 2.90, 4 Mn 2.90
W 0.5000 0.5000 0.5000  8 Sn 2.90

***

# YMn6Sn6

YMn6Sn6 after structural relaxation (PBE-GGA, the Alexandria database).

Its energy relative to the elements is -0.14 eV per atom. As for the density of states at the Fermi level: 0.43 states/eV/atom. As for the space group: No. 191.

a = 5.4516 Å, b = 5.4516 Å, c = 8.9702 Å
α = 90.00°, β = 90.00°, γ = 120.00°
Last column: nearest neighbours and their distance in Å.
Fractional coordinates of all 13 atoms:
Y 0.0000 0.0000 0.0000  8 Sn 2.99-3.15
Mn 0.0000 0.5000 0.2485  4 Mn 2.73, 6 Sn 2.73-2.83
Mn 0.0000 0.5000 0.7515  4 Mn 2.73, 6 Sn 2.73-2.83
Mn 0.5000 0.0000 0.2485  4 Mn 2.73, 6 Sn 2.73-2.83
Mn 0.5000 0.0000 0.7515  4 Mn 2.73, 6 Sn 2.73-2.83
Mn 0.5000 0.5000 0.2485  4 Mn 2.73, 6 Sn 2.73-2.83
Mn 0.5000 0.5000 0.7515  4 Mn 2.73, 6 Sn 2.73-2.83
Sn 0.0000 0.0000 0.3337  6 Mn 2.83, 1 Sn 2.98, 1 Y 2.99
Sn 0.0000 0.0000 0.6663  6 Mn 2.83, 1 Sn 2.98, 1 Y 2.99
Sn 0.3333 0.6667 0.0000  6 Mn 2.73
Sn 0.3333 0.6667 0.5000  6 Mn 2.75
Sn 0.6667 0.3333 0.0000  6 Mn 2.73
Sn 0.6667 0.3333 0.5000  6 Mn 2.75

***

# YMn2Sn2

YMn2Sn2 after structural relaxation (PBE-GGA, the Alexandria database).

Its energy relative to the elements is -0.14 eV per atom. As for the density of states at the Fermi level: 1.05 states/eV/atom. As for the space group: No. 139.

a = 6.7119 Å, b = 6.7119 Å, c = 6.7119 Å
α = 142.99°, β = 142.99°, γ = 53.34°
Last column: nearest neighbours and their distance in Å.
Fractional coordinates of all 5 atoms:
Y 0.0000 0.0000 0.0000  8 Sn 3.33, 8 Mn 3.68
Mn 0.2500 0.7500 0.5000  4 Sn 2.66
Mn 0.7500 0.2500 0.5000  4 Sn 2.66
Sn 0.3827 0.3827 0.0000  4 Mn 2.66, 1 Sn 2.81
Sn 0.6173 0.6173 0.0000  4 Mn 2.66, 1 Sn 2.81

***

# YMnSn3

YMnSn3 after structural relaxation (PBE-GGA, the Alexandria database).

Its energy relative to the elements is 0.09 eV per atom. As for the density of states at the Fermi level: 0.94 states/eV/atom. As for the space group: No. 221.

a = 4.9086 Å, b = 4.9086 Å, c = 4.9086 Å
α = 90.00°, β = 90.00°, γ = 90.00°
Last column: nearest neighbours and their distance in Å.
Fractional coordinates of all 5 atoms:
Y 0.0000 0.0000 0.0000  12 Sn 3.47
Mn 0.5000 0.5000 0.5000  6 Sn 2.45
Sn 0.0000 0.5000 0.5000  2 Mn 2.45
Sn 0.5000 0.0000 0.5000  2 Mn 2.45
Sn 0.5000 0.5000 0.0000  2 Mn 2.45

***

# Y2Mn2Sn

Y2Mn2Sn after structural relaxation (PBE-GGA, the Alexandria database).

Its energy relative to the elements is -0.12 eV per atom. As for the density of states at the Fermi level: 1.08 states/eV/atom. As for the space group: No. 127.

a = 6.9438 Å, b = 6.9438 Å, c = 4.3473 Å
α = 90.00°, β = 90.00°, γ = 90.00°
Last column: nearest neighbours and their distance in Å.
Fractional coordinates of all 10 atoms:
Y 0.1821 0.3179 0.0000  6 Mn 3.00-3.02, 4 Sn 3.35
Y 0.3179 0.8179 0.0000  6 Mn 3.00-3.02, 4 Sn 3.35
Y 0.6821 0.1821 0.0000  6 Mn 3.00-3.02, 4 Sn 3.35
Y 0.8179 0.6821 0.0000  6 Mn 3.00-3.02, 4 Sn 3.35
Mn 0.1045 0.6045 0.5000  1 Mn 2.05
Mn 0.3955 0.1045 0.5000  1 Mn 2.05
Mn 0.6045 0.8955 0.5000  1 Mn 2.05
Mn 0.8955 0.3955 0.5000  1 Mn 2.05
Sn 0.0000 0.0000 0.5000  4 Mn 2.84
Sn 0.5000 0.5000 0.5000  4 Mn 2.84

***

# YMn2Sn2

YMn2Sn2 after structural relaxation (PBE-GGA, the Alexandria database).

Its energy relative to the elements is -0.04 eV per atom. As for the density of states at the Fermi level: 0.86 states/eV/atom. As for the space group: No. 139.

a = 5.7943 Å, b = 5.7943 Å, c = 5.7943 Å
α = 133.72°, β = 133.72°, γ = 67.53°
Last column: nearest neighbours and their distance in Å.
Fractional coordinates of all 5 atoms:
Y 0.0000 0.0000 0.0000  8 Sn 3.31, 8 Mn 3.37
Mn 0.3976 0.3976 0.0000  1 Mn 1.97
Mn 0.6024 0.6024 0.0000  1 Mn 1.97
Sn 0.2500 0.7500 0.5000  4 Mn 2.68
Sn 0.7500 0.2500 0.5000  4 Mn 2.68

***

# Y3MnSn

Y3MnSn after structural relaxation (PBE-GGA, the Alexandria database).

Its energy relative to the elements is 0.01 eV per atom. As for the density of states at the Fermi level: 0.87 states/eV/atom. As for the space group: No. 221.

a = 5.0795 Å, b = 5.0795 Å, c = 5.0795 Å
α = 90.00°, β = 90.00°, γ = 90.00°
Last column: nearest neighbours and their distance in Å.
Fractional coordinates of all 5 atoms:
Y 0.0000 0.0000 0.5000  2 Mn 2.54
Y 0.0000 0.5000 0.0000  2 Mn 2.54
Y 0.5000 0.0000 0.0000  2 Mn 2.54
Mn 0.0000 0.0000 0.0000  6 Y 2.54
Sn 0.5000 0.5000 0.5000  12 Y 3.59

***

# Mn2Zn2Sn

Mn2Zn2Sn after structural relaxation (PBE-GGA, the Alexandria database).

Its energy relative to the elements is 0.27 eV per atom. As for the density of states at the Fermi level: 0.65 states/eV/atom. As for the space group: No. 127.

a = 6.4371 Å, b = 6.4371 Å, c = 3.7824 Å
α = 90.00°, β = 90.00°, γ = 90.00°
Last column: nearest neighbours and their distance in Å.
Fractional coordinates of all 10 atoms:
Mn 0.1233 0.3767 0.0000  1 Mn 2.24
Mn 0.3767 0.8767 0.0000  1 Mn 2.24
Mn 0.6233 0.1233 0.0000  1 Mn 2.24
Mn 0.8767 0.6233 0.0000  1 Mn 2.24
Zn 0.1615 0.6615 0.5000  6 Mn 2.65-2.72, 1 Zn 2.94
Zn 0.3385 0.1615 0.5000  6 Mn 2.65-2.72, 1 Zn 2.94
Zn 0.6615 0.8385 0.5000  6 Mn 2.65-2.72, 1 Zn 2.94
Zn 0.8385 0.3385 0.5000  6 Mn 2.65-2.72, 1 Zn 2.94
Sn 0.0000 0.0000 0.0000  4 Mn 2.55
Sn 0.5000 0.5000 0.0000  4 Mn 2.55

***

# MnZn4Sn

MnZn4Sn after structural relaxation (PBE-GGA, the Alexandria database).

Its energy relative to the elements is 0.17 eV per atom. As for the density of states at the Fermi level: 0.68 states/eV/atom. As for the space group: No. 216.

a = 5.2404 Å, b = 5.2404 Å, c = 5.2404 Å
α = 60.00°, β = 60.00°, γ = 60.00°
Last column: nearest neighbours and their distance in Å.
Fractional coordinates of all 6 atoms:
Mn 0.0000 0.0000 0.0000  12 Zn 3.07, 4 Sn 3.21
Zn 0.1219 0.6260 0.6260  6 Zn 2.60-2.64
Zn 0.6260 0.1219 0.6260  6 Zn 2.60-2.64
Zn 0.6260 0.6260 0.1219  6 Zn 2.60-2.64
Zn 0.6260 0.6260 0.6260  6 Zn 2.60-2.64
Sn 0.2500 0.2500 0.2500  12 Zn 3.07, 4 Mn 3.21

***

# MnZn2Sn

MnZn2Sn after structural relaxation (PBE-GGA, the Alexandria database).

Its energy relative to the elements is 0.16 eV per atom. As for the density of states at the Fermi level: 0.71 states/eV/atom. As for the space group: No. 123.

a = 3.5439 Å, b = 3.5439 Å, c = 5.5350 Å
α = 90.00°, β = 90.00°, γ = 90.00°
Last column: nearest neighbours and their distance in Å.
Fractional coordinates of all 4 atoms:
Mn 0.0000 0.0000 0.0000  2 Sn 2.77, 8 Zn 2.80
Zn 0.5000 0.5000 0.2260  1 Zn 2.50, 4 Mn 2.80
Zn 0.5000 0.5000 0.7740  1 Zn 2.50, 4 Mn 2.80
Sn 0.0000 0.0000 0.5000  2 Mn 2.77, 8 Zn 2.93